In5C3 after structural relaxation. Source: Alexandria via LeMat-Bulk, functional PBE-GGA.

It has space group P6_3/mcm (No. 193), with a = 6.5678 Å, b = 6.5678 Å, c = 9.6126 Å, α = 90.00°, β = 90.00° and γ = 120.00°. Symmetry generates all atoms from In at (0.0000, 0.3176, 0.2500), In at (0.3333, 0.6667, 0.0000) and C at (0.0000, 0.3453, 0.7500).

The value obtained for the excess energy over the best structure of this formula in the dataset is 23.7 meV/atom. As for the total energy: -3.9517 eV/atom.

***

CrPtSe2 after structural relaxation. Source: Alexandria via LeMat-Bulk, functional PBE-GGA.

It has space group I-42d (No. 122), with a = 5.331 Å, b = 5.331 Å, c = 12.555 Å, α = 90.00°, β = 90.00° and γ = 90.00°. Symmetry generates all atoms from Cr at (0.000, 0.000, 0.000), Pt at (0.000, 0.000, 0.500) and Se at (0.237, 0.250, 0.125).

The value obtained for the excess energy over the best structure of this formula in the dataset is 210.0 meV/atom. As for the total energy: -5.7402 eV/atom.

***

Tm4HgSbTe2 after structural relaxation. Source: Alexandria via LeMat-Bulk, functional PBE-GGA.

It has space group P2/m (No. 10), with a = 7.489 Å, b = 4.188 Å, c = 7.621 Å, α = 90.00°, β = 108.14° and γ = 90.00°. Symmetry generates all atoms from Tm at (0.241, 0.000, 0.237), Tm at (0.249, 0.500, 0.762), Hg at (0.000, 0.500, 0.000), Sb at (0.500, 0.000, 0.000), Te at (0.000, 0.000, 0.500) and Te at (0.500, 0.500, 0.500).

As for the total energy: -4.5432 eV/atom.

***

SnHg2I4 after structural relaxation. Source: Alexandria via LeMat-Bulk, functional PBE-GGA.

It has space group I4/mmm (No. 139), with a = 6.547 Å, b = 6.547 Å, c = 14.352 Å, α = 90.00°, β = 90.00° and γ = 90.00°. Symmetry generates all atoms from Sn at (0.000, 0.000, 0.000), Hg at (0.000, 0.000, 0.406), I at (0.000, 0.000, 0.213) and I at (0.000, 0.500, 0.000).

As for the total energy: -1.7795 eV/atom.

***

Copy entry 4 word for word.
SnHg2I4 after structural relaxation. Source: Alexandria via LeMat-Bulk, functional PBE-GGA.

It has space group I4/mmm (No. 139), with a = 6.547 Å, b = 6.547 Å, c = 14.352 Å, α = 90.00°, β = 90.00° and γ = 90.00°. Symmetry generates all atoms from Sn at (0.000, 0.000, 0.000), Hg at (0.000, 0.000, 0.406), I at (0.000, 0.000, 0.213) and I at (0.000, 0.500, 0.000).

As for the total energy: -1.7795 eV/atom.